DFT (PBE) results for a geometry-optimized Th4InPt2 structure.

The structure in extended XYZ format:
```
7
Lattice="2.187 1.263 12.613 -2.187 1.263 12.613 0.000 -2.526 12.613" Properties=species:S:1:pos:R:3 pbc="T T T"
Th 0.000 0.000 4.175
Th 0.000 0.000 11.407
Th 0.000 0.000 26.433
Th 0.000 0.000 33.665
In 0.000 0.000 18.920
Pt 0.000 0.000 15.255
Pt 0.000 0.000 22.586
```

## Properties
The symmetry is R-3m, No. 166. The total energy is -6.936 eV per atom. For the formation energy, the calculation gives -0.5789 eV/atom.



DFT (PBE) results for a geometry-optimized ThIn2Pt9 structure.

The structure in extended XYZ format:
```
12
Lattice="4.132 0.000 0.000 0.000 4.132 0.000 0.000 0.000 12.236" Properties=species:S:1:pos:R:3 pbc="T T T"
Th 0.000 0.000 0.000
In 0.000 0.000 4.165
In 0.000 0.000 8.070
Pt 0.000 2.066 2.147
Pt 0.000 2.066 6.118
Pt 0.000 2.066 10.088
Pt 2.066 0.000 2.147
Pt 2.066 0.000 6.118
Pt 2.066 0.000 10.088
Pt 2.066 2.066 0.000
Pt 2.066 2.066 4.143
Pt 2.066 2.066 8.093
```

## Properties
The symmetry is P4/mmm, No. 123. The total energy is -6.228 eV per atom. For the formation energy, the calculation gives -0.6222 eV/atom.



DFT (PBE) results for a geometry-optimized Th4InPt15 structure.

The structure in extended XYZ format:
```
20
Lattice="4.209 0.000 0.000 0.000 4.209 0.000 0.000 0.000 20.919" Properties=species:S:1:pos:R:3 pbc="T T T"
Th 0.000 0.000 2.145
Th 0.000 0.000 6.430
Th 0.000 0.000 14.489
Th 0.000 0.000 18.774
In 0.000 0.000 10.459
Pt 0.000 2.105 0.000
Pt 0.000 2.105 4.252
Pt 0.000 2.105 8.484
Pt 0.000 2.105 12.435
Pt 0.000 2.105 16.667
Pt 2.105 0.000 0.000
Pt 2.105 0.000 4.252
Pt 2.105 0.000 8.484
Pt 2.105 0.000 12.435
Pt 2.105 0.000 16.667
Pt 2.105 2.105 2.114
Pt 2.105 2.105 6.373
Pt 2.105 2.105 10.459
Pt 2.105 2.105 14.546
Pt 2.105 2.105 18.805
```

## Properties
The symmetry is P4/mmm, No. 123. The total energy is -7.119 eV per atom. For the formation energy, the calculation gives -0.9670 eV/atom.



DFT (PBE) results for a geometry-optimized ThZnInPt structure.

The structure in extended XYZ format:
```
4
Lattice="0.000 3.504 3.504 3.504 0.000 3.504 3.504 3.504 0.000" Properties=species:S:1:pos:R:3 pbc="T T T"
Th 0.000 0.000 0.000
Zn 1.752 1.752 1.752
In 3.504 3.504 3.504
Pt 5.256 5.256 5.256
```

## Properties
The symmetry is F-43m, No. 216. The total energy is -5.009 eV per atom. For the formation energy, the calculation gives -0.6406 eV/atom.



DFT (PBE) results for a geometry-optimized ThZnInPt3 structure.

The structure in extended XYZ format:
```
12
Lattice="2.839 -6.163 0.000 2.839 6.163 0.000 0.000 0.000 7.319" Properties=species:S:1:pos:R:3 pbc="T T T"
Th 2.839 4.208 5.489
Th 2.839 -4.208 1.830
Zn 2.839 0.991 5.489
Zn 2.839 -0.991 1.830
In 2.839 4.488 1.830
In 2.839 -4.488 5.489
Pt 1.400 0.000 0.000
Pt 1.400 0.000 3.660
Pt 2.839 1.846 1.830
Pt 2.839 -1.846 5.489
Pt 4.277 0.000 0.000
Pt 4.277 0.000 3.660
```

## Properties
The symmetry is Cmcm, No. 63. The total energy is -5.554 eV per atom. For the formation energy, the calculation gives -0.6285 eV/atom.



DFT (PBE) results for a geometry-optimized TiIn2Pt9 structure.

The structure in extended XYZ format:
```
12
Lattice="4.013 0.000 0.000 0.000 4.013 0.000 0.000 0.000 12.049" Properties=species:S:1:pos:R:3 pbc="T T T"
Ti 0.000 0.000 0.000
In 0.000 0.000 3.996
In 0.000 0.000 8.053
Pt 0.000 2.006 1.886
Pt 0.000 2.006 6.025
Pt 0.000 2.006 10.164
Pt 2.006 0.000 1.886
Pt 2.006 0.000 6.025
Pt 2.006 0.000 10.164
Pt 2.006 2.006 0.000
Pt 2.006 2.006 3.962
Pt 2.006 2.006 8.087
```

## Properties
The symmetry is P4/mmm, No. 123. The total energy is -6.223 eV per atom. For the formation energy, the calculation gives -0.5776 eV/atom.



DFT (PBE) results for a geometry-optimized Ti2InPt structure.

The structure in extended XYZ format:
```
4
Lattice="4.056 0.000 0.000 0.000 4.056 0.000 0.000 0.000 4.174" Properties=species:S:1:pos:R:3 pbc="T T T"
Ti 0.000 2.028 0.000
Ti 2.028 0.000 0.000
In 0.000 0.000 2.087
Pt 2.028 2.028 2.087
```

## Properties
The symmetry is P4/mmm, No. 123. The total energy is -6.636 eV per atom. For the formation energy, the calculation gives -0.4940 eV/atom.



DFT (PBE) results for a geometry-optimized Ti2InPt structure.

The structure in extended XYZ format:
```
8
Lattice="-3.699 3.699 2.854 3.699 -3.699 2.854 3.699 3.699 -2.854" Properties=species:S:1:pos:R:3 pbc="T T T"
Ti 5.548 1.528 -0.714
Ti 1.528 1.849 0.714
Ti -1.849 2.171 2.141
Ti 2.171 1.849 3.568
In 3.699 0.000 1.427
In 0.000 0.000 2.854
Pt 0.000 0.000 0.000
Pt 0.000 3.699 1.427
```

## Properties
The symmetry is I-42d, No. 122. The total energy is -6.297 eV per atom. For the formation energy, the calculation gives -0.1544 eV/atom.



DFT (PBE) results for a geometry-optimized TiIn2Pt structure.

The structure in extended XYZ format:
```
8
Lattice="-3.831 3.831 2.848 3.831 -3.831 2.848 3.831 3.831 -2.848" Properties=species:S:1:pos:R:3 pbc="T T T"
Ti 0.000 0.000 0.000
Ti 0.000 3.831 1.424
In 1.916 -1.744 2.136
In 2.087 1.916 0.712
In 1.916 5.575 -0.712
In 1.744 1.916 3.560
Pt 3.831 0.000 1.424
Pt 0.000 0.000 2.848
```

## Properties
The symmetry is I-42d, No. 122. The total energy is -4.908 eV per atom. For the formation energy, the calculation gives -0.0548 eV/atom.



DFT (PBE) results for a geometry-optimized TiIn2Pt structure.

The structure in extended XYZ format:
```
4
Lattice="4.251 0.000 0.000 0.000 4.251 0.000 0.000 0.000 4.116" Properties=species:S:1:pos:R:3 pbc="T T T"
Ti 0.000 0.000 0.000
In 0.000 2.126 2.058
In 2.126 0.000 2.058
Pt 2.126 2.126 0.000
```

## Properties
The symmetry is P4/mmm, No. 123. The total energy is -5.199 eV per atom. For the formation energy, the calculation gives -0.3461 eV/atom.



DFT (PBE) results for a geometry-optimized Ti2InPt9 structure.

The structure in extended XYZ format:
```
12
Lattice="3.977 0.000 0.000 0.000 3.977 0.000 0.000 0.000 11.958" Properties=species:S:1:pos:R:3 pbc="T T T"
Ti 0.000 0.000 1.998
Ti 0.000 0.000 9.960
In 0.000 0.000 5.979
Pt 0.000 1.989 0.000
Pt 0.000 1.989 3.853
Pt 0.000 1.989 8.105
Pt 1.989 0.000 0.000
Pt 1.989 0.000 3.853
Pt 1.989 0.000 8.105
Pt 1.989 1.989 1.937
Pt 1.989 1.989 5.979
Pt 1.989 1.989 10.020
```

## Properties
The symmetry is P4/mmm, No. 123. The total energy is -6.821 eV per atom. For the formation energy, the calculation gives -0.7464 eV/atom.



DFT (PBE) results for a geometry-optimized Ti7InPt4 structure.

The structure in extended XYZ format:
```
12
Lattice="5.876 -2.486 0.000 5.876 2.486 0.000 -5.635 0.000 7.482" Properties=species:S:1:pos:R:3 pbc="T T T"
Ti 0.000 0.000 0.000
Ti -1.489 0.000 4.494
Ti 2.761 0.000 1.013
Ti 1.261 0.000 4.870
Ti 4.856 0.000 2.612
Ti 3.357 0.000 6.469
Ti 7.607 0.000 2.988
In 5.876 0.000 0.000
Pt -3.571 0.000 5.875
Pt 0.639 0.000 2.467
Pt 5.478 0.000 5.015
Pt 9.688 0.000 1.606
```

## Properties
The symmetry is C2/m, No. 12. The total energy is -7.189 eV per atom. For the formation energy, the calculation gives -0.3422 eV/atom.



DFT (PBE) results for a geometry-optimized Ti2In2Pt structure.

The structure in extended XYZ format:
```
10
Lattice="6.914 0.000 0.000 0.000 6.914 0.000 0.000 0.000 4.057" Properties=species:S:1:pos:R:3 pbc="T T T"
Ti 1.109 2.349 0.000
Ti 2.349 5.806 0.000
Ti 4.566 1.109 0.000
Ti 5.806 4.566 0.000
In 0.988 4.445 2.028
In 2.469 0.988 2.028
In 4.445 5.926 2.028
In 5.926 2.469 2.028
Pt 0.000 0.000 2.028
Pt 3.457 3.457 2.028
```

## Properties
The symmetry is P4/mbm, No. 127. The total energy is -5.580 eV per atom. For the formation energy, the calculation gives -0.1187 eV/atom. The value obtained for the energy above the most stable polymorph in this dataset is 23 meV/atom.



DFT (PBE) results for a geometry-optimized Ti2InPt structure.

The structure in extended XYZ format:
```
4
Lattice="3.381 0.000 0.000 0.000 3.381 0.000 0.000 0.000 6.180" Properties=species:S:1:pos:R:3 pbc="T T T"
Ti 0.000 0.000 1.365
Ti 0.000 0.000 4.815
In 1.691 1.691 3.090
Pt 1.691 1.691 0.000
```

## Properties
The symmetry is P4/mmm, No. 123. The total energy is -6.578 eV per atom. For the formation energy, the calculation gives -0.4354 eV/atom.



DFT (PBE) results for a geometry-optimized Ti3InPt4 structure.

The structure in extended XYZ format:
```
16
Lattice="9.353 0.000 0.000 0.000 5.693 0.000 0.000 0.000 4.877" Properties=species:S:1:pos:R:3 pbc="T T T"
Ti 0.000 0.000 0.000
Ti 2.338 0.000 1.897
Ti 2.338 2.846 1.940
Ti 4.676 0.000 0.000
Ti 7.015 0.000 2.980
Ti 7.015 2.846 2.937
In 0.000 2.846 0.000
In 4.676 2.846 0.000
Pt 0.000 1.386 2.439
Pt 0.000 4.306 2.439
Pt 2.338 1.377 4.289
Pt 2.338 4.315 4.289
Pt 4.676 1.386 2.439
Pt 4.676 4.306 2.439
Pt 7.015 1.377 0.588
Pt 7.015 4.315 0.588
```

## Properties
The symmetry is Pmma, No. 51. The total energy is -7.096 eV per atom. For the formation energy, the calculation gives -0.7723 eV/atom.



DFT (PBE) results for a geometry-optimized Ti2InPt structure.

The structure in extended XYZ format:
```
8
Lattice="2.225 -9.683 0.000 2.225 9.683 0.000 0.000 0.000 3.447" Properties=species:S:1:pos:R:3 pbc="T T T"
Ti 0.000 0.000 0.000
Ti 2.225 5.254 1.724
Ti 2.225 0.000 1.724
Ti 2.225 -5.254 1.724
In 2.225 2.755 0.000
In 2.225 -2.755 0.000
Pt 2.225 7.845 1.724
Pt 2.225 -7.845 1.724
```

## Properties
The symmetry is Cmmm, No. 65. The total energy is -6.383 eV per atom. For the formation energy, the calculation gives -0.2411 eV/atom.



DFT (PBE) results for a geometry-optimized Ti4InPt structure.

The structure in extended XYZ format:
```
6
Lattice="5.166 -1.630 0.000 5.166 1.630 0.000 -1.997 0.000 6.153" Properties=species:S:1:pos:R:3 pbc="T T T"
Ti 1.001 0.000 2.147
Ti 0.137 0.000 5.057
Ti 8.197 0.000 1.096
Ti 7.333 0.000 4.006
In 5.166 0.000 0.000
Pt 4.167 0.000 3.077
```

## Properties
The symmetry is C2/m, No. 12. The total energy is -7.119 eV per atom. For the formation energy, the calculation gives -0.3925 eV/atom. The value obtained for the energy above the most stable polymorph in this dataset is 0 meV/atom.



DFT (PBE) results for a geometry-optimized TiInPt6 structure.

The structure in extended XYZ format:
```
8
Lattice="3.995 0.000 0.000 0.000 3.995 0.000 0.000 0.000 8.003" Properties=species:S:1:pos:R:3 pbc="T T T"
Ti 0.000 0.000 0.000
In 0.000 0.000 4.002
Pt 0.000 1.997 1.898
Pt 0.000 1.997 6.105
Pt 1.997 0.000 1.898
Pt 1.997 0.000 6.105
Pt 1.997 1.997 0.000
Pt 1.997 1.997 4.002
```

## Properties
The symmetry is P4/mmm, No. 123. The total energy is -6.528 eV per atom. For the formation energy, the calculation gives -0.6678 eV/atom.



DFT (PBE) results for a geometry-optimized TiIn2Pt structure.

The structure in extended XYZ format:
```
4
Lattice="0.000 3.348 3.348 3.348 0.000 3.348 3.348 3.348 0.000" Properties=species:S:1:pos:R:3 pbc="T T T"
Ti 0.000 0.000 0.000
In 1.674 1.674 1.674
In 5.022 5.022 5.022
Pt 3.348 3.348 3.348
```

## Properties
The symmetry is Fm-3m, No. 225. The total energy is -5.062 eV per atom. For the formation energy, the calculation gives -0.2087 eV/atom.



DFT (PBE) results for a geometry-optimized Ti3InPt structure.

The structure in extended XYZ format:
```
10
Lattice="4.813 -2.084 0.000 4.813 2.084 0.000 -1.702 0.000 9.248" Properties=species:S:1:pos:R:3 pbc="T T T"
Ti -0.232 0.000 3.264
Ti -0.206 0.000 8.753
Ti 2.497 0.000 2.351
Ti 5.427 0.000 6.897
Ti 8.130 0.000 0.495
Ti 8.156 0.000 5.984
In 2.611 0.000 7.855
In 5.313 0.000 1.393
Pt 1.035 0.000 5.496
Pt 6.889 0.000 3.752
```

## Properties
The symmetry is C2/m, No. 12. The total energy is -6.784 eV per atom. For the formation energy, the calculation gives -0.2909 eV/atom. The value obtained for the energy above the most stable polymorph in this dataset is 0 meV/atom.